# SrMoP2Cl

A relaxed SrMoP2Cl crystal (GGA-PBE, Alexandria via LeMat-Bulk).

Its formation energy from raw total energies is 1.156 eV per atom.

POSCAR file:
```
SrMoP2Cl
1.0
5.656 0.000 0.000
0.000 5.656 0.000
0.000 0.000 5.283
P Mo Sr Cl
2 1 1 1
Direct
0.500 0.000 0.000
0.000 0.500 0.000
0.500 0.500 0.500
0.000 0.000 0.000
0.000 0.000 0.500
```

# UTiCu4

A relaxed UTiCu4 crystal (GGA-PBE, Alexandria via LeMat-Bulk).

The energy relative to the elements comes out at 9.76 kJ/mol of atoms.

POSCAR file:
```
UTiCu4
1.0
5.012 0.000 0.000
2.506 4.341 0.000
2.506 1.447 4.093
Cu Ti U
4 1 1
Direct
0.626 0.626 0.123
0.626 0.626 0.626
0.626 0.123 0.626
0.123 0.626 0.626
0.000 0.000 0.000
0.250 0.250 0.250
```